[1]
Computed, not measured: crystalline BeB2Rh5 at its relaxed geometry at the PBE level of DFT.

Cell: 2.874 5.536 12.037 Å, 90.00 90.00 90.00°
Space group Immm (No. 71)
One atom of each set of equivalent atoms:
Be 0.000 0.000 0.000 [2 per cell]
B 0.000 0.500 0.210 [4 per cell]
Rh 0.000 0.254 0.351 [8 per cell]
Rh 0.000 0.500 0.000 [2 per cell]

Computed properties:
Calculated formation energy ... -23.18 kJ per mole of atoms
Crystal system ... orthorhombic

---

[2]
Computed, not measured: crystalline Na3TeH at its relaxed geometry at the PBE level of DFT.

Cell: 22.732 5.417 5.263 Å, 90.00 103.23 90.00°
Space group C2/m (No. 12)
One atom of each set of equivalent atoms:
Na 0.040 0.000 0.288 [4 per cell]
Na 0.159 0.500 0.982 [4 per cell]
Na 0.196 0.000 0.454 [4 per cell]
Te 0.103 0.000 0.849 [4 per cell]
H 0.205 0.500 0.404 [4 per cell]

Computed properties:
Crystal system ... monoclinic
E above lowest polymorph ... 124.1 meV per atom

---

[3]
Computed, not measured: crystalline HfSeS2 at its relaxed geometry at the PBE level of DFT.

Cell: 3.5522 3.5522 24.2466 Å, 90.00 90.00 120.00°
Space group R-3m (No. 166, hexagonal axes)
One atom of each set of equivalent atoms:
Hf 0.0000 0.0000 0.0000 [3 per cell]
Se 0.0000 0.0000 0.5000 [3 per cell]
S 0.0000 0.0000 0.3960 [6 per cell]

Computed properties:
Crystal system ... trigonal
Formation energy from raw total energies ... -0.82 eV/atom

---

[4]
Computed, not measured: crystalline CaAc2ScHg6 at its relaxed geometry at the PBE level of DFT.

Cell: 10.943 10.943 10.943 Å, 90.00 90.00 90.00°
Space group Fm-3m (No. 225)
One atom of each set of equivalent atoms:
Ca 0.000 0.000 0.000 [4 per cell]
Ac 0.250 0.250 0.250 [8 per cell]
Sc 0.000 0.000 0.500 [4 per cell]
Hg 0.000 0.000 0.256 [24 per cell]

Computed properties:
Calculated formation energy ... -4.08 kJ per mole of atoms
Crystal system ... cubic

---

[5]
Computed, not measured: crystalline InMo7 at its relaxed geometry at the PBE level of DFT.

Cell: 8.072 8.072 8.072 Å, 90.00 90.00 90.00°
Space group Fm-3m (No. 225)
One atom of each set of equivalent atoms:
In 0.000 0.000 0.000 [4 per cell]
Mo 0.000 0.000 0.500 [4 per cell]
Mo 0.000 0.250 0.250 [24 per cell]

Computed properties:
Calculated formation energy ... 36.18 kJ per mole of atoms
Crystal system ... cubic

---

[6]
Computed, not measured: crystalline Pr3In2Ga at its relaxed geometry at the PBE level of DFT.

Cell: 5.4348 5.4348 6.6938 Å, 90.00 90.00 120.00°
Space group P-3m1 (No. 164)
One atom of each set of equivalent atoms:
Pr 0.0000 0.0000 0.0000 [1 per cell]
Pr 0.3333 0.6667 0.6540 [2 per cell]
In 0.3333 0.6667 0.1579 [2 per cell]
Ga 0.0000 0.0000 0.5000 [1 per cell]

Computed properties:
Calculated formation energy ... -47.71 kJ per mole of atoms
Crystal system ... trigonal
E above lowest polymorph ... 10.6 meV per atom

---

[7]
Computed, not measured: crystalline Pr3OsCl2 at its relaxed geometry at the PBE level of DFT.

Cell: 4.069 5.927 14.041 Å, 90.00 90.00 90.00°
Space group Immm (No. 71)
One atom of each set of equivalent atoms:
Pr 0.000 0.000 0.000 [2 per cell]
Pr 0.000 0.000 0.365 [4 per cell]
Os 0.000 0.500 0.000 [2 per cell]
Cl 0.000 0.500 0.325 [4 per cell]

Computed properties:
Crystal system ... orthorhombic
Formation energy from raw total energies ... -1.00 eV/atom
E above lowest polymorph ... 10.8 meV per atom

---

[8]
Computed, not measured: crystalline Mg2Zn2Sb at its relaxed geometry at the PBE level of DFT.

Cell: 8.032 8.032 3.266 Å, 90.00 90.00 90.00°
Space group P4/mbm (No. 127)
One atom of each set of equivalent atoms:
Mg 0.142 0.358 0.000 [4 per cell]
Zn 0.155 0.655 0.500 [4 per cell]
Sb 0.000 0.000 0.000 [2 per cell]

Computed properties:
Crystal system ... tetragonal
Formation energy from raw total energies ... 0.03 eV/atom
E above lowest polymorph ... 72.2 meV per atom

---

[9]
Computed, not measured: crystalline LiNi2Se at its relaxed geometry at the PBE level of DFT.

Cell: 3.268 3.268 4.811 Å, 90.00 90.00 90.00°
Space group P4mm (No. 99)
One atom of each set of equivalent atoms:
Li 0.000 0.000 0.000 [1 per cell]
Ni 0.000 0.000 0.496 [1 per cell]
Ni 0.500 0.500 0.237 [1 per cell]
Se 0.500 0.500 0.723 [1 per cell]

Computed properties:
Crystal system ... tetragonal
Formation energy from raw total energies ... -0.12 eV/atom

---

[10]
Computed, not measured: crystalline LaSc2Cr at its relaxed geometry at the PBE level of DFT.

Cell: 3.323 3.323 8.756 Å, 90.00 90.00 90.00°
Space group P4/mmm (No. 123)
One atom of each set of equivalent atoms:
La 0.000 0.000 0.000 [1 per cell]
Sc 0.500 0.500 0.317 [2 per cell]
Cr 0.000 0.000 0.500 [1 per cell]

Computed properties:
Calculated formation energy ... 17.43 kJ per mole of atoms
Crystal system ... tetragonal
E above lowest polymorph ... 0.0 meV per atom

---

[11]
Computed, not measured: crystalline SrCaSc2 at its relaxed geometry at the PBE level of DFT.

Cell: 12.065 3.579 6.333 Å, 90.00 98.84 90.00°
Space group C2/m (No. 12)
One atom of each set of equivalent atoms:
Sr 0.000 0.000 0.000 [2 per cell]
Ca 0.000 0.500 0.500 [2 per cell]
Sc 0.248 0.000 0.728 [4 per cell]

Computed properties:
Calculated formation energy ... 33.21 kJ per mole of atoms
Crystal system ... monoclinic
E above lowest polymorph ... 180.1 meV per atom

---

[12]
Computed, not measured: crystalline BaZn4Ag8 at its relaxed geometry at the PBE level of DFT.

Cell: 9.597 9.597 5.389 Å, 90.00 90.00 90.00°
Space group I4/mmm (No. 139)
One atom of each set of equivalent atoms:
Ba 0.000 0.000 0.000 [2 per cell]
Zn 0.250 0.250 0.250 [8 per cell]
Ag 0.000 0.227 0.500 [8 per cell]
Ag 0.000 0.351 0.000 [8 per cell]

Computed properties:
Calculated formation energy ... -9.23 kJ per mole of atoms
Crystal system ... tetragonal

---

[13]
Computed, not measured: crystalline MnGa2Se4 at its relaxed geometry at the PBE level of DFT.

Cell: 5.524 5.524 5.860 Å, 90.00 90.00 90.00°
Space group P-42m (No. 111)
One atom of each set of equivalent atoms:
Mn 0.000 0.000 0.000 [1 per cell]
Ga 0.000 0.500 0.500 [2 per cell]
Se 0.267 0.267 0.245 [4 per cell]

Computed properties:
Crystal system ... tetragonal
Formation energy from raw total energies ... -0.55 eV/atom
E above lowest polymorph ... 11.9 meV per atom

---

These records have DOS(E_F) values of 6.963; 0.000; 2.962; 12.257; 7.141; 3.025; 5.533; 2.303; 3.248; 5.703; 6.947; 5.200; 0.089 states/eV/f.u., in the order they appear.
These records have ρ values of 9.452; 2.080; 6.046; 8.832; 9.931; 7.003; 6.707; 4.747; 6.571; 4.824; 2.674; 8.444; 4.739 g cm⁻³, in the order they appear.
These records have E values of -111.521; -52.162; -74.962; -75.133; -302.224; -25.809; -70.482; -19.380; -17.422; -26.491; -29.940; -62.145; -33.029 eV per cell, in the order they appear.